(1)
{
  "formula": "CrNiN2O",
  "functional": "GGA+U",
  "state": "optimized geometry",
  "spacegroup": "P4/mmm (123)",
  "total_energy_ev_per_fu": -24.784,
  "crystal_system": "tetragonal",
  "cell": [[3.7170, 0.0000, 0.0000], [0.0000, 3.7170, 0.0000], [0.0000, 0.0000, 3.6407]],
  "species": ["Cr", "Ni", "N", "N", "O"],
  "fractional_positions": [[0.0000, 0.0000, 0.0000], [0.5000, 0.5000, 0.5000], [0.0000, 0.5000, 0.5000], [0.5000, 0.0000, 0.5000], [0.5000, 0.5000, 0.0000]]
}

---

(2)
{
  "formula": "CrNiN2O",
  "functional": "GGA+U",
  "state": "optimized geometry",
  "spacegroup": "P4/mmm (123)",
  "total_energy_ev_per_fu": -27.522,
  "crystal_system": "tetragonal",
  "cell": [[3.7143, 0.0000, 0.0000], [0.0000, 3.7143, 0.0000], [0.0000, 0.0000, 3.9005]],
  "species": ["Cr", "Ni", "N", "N", "O"],
  "fractional_positions": [[0.0000, 0.0000, 0.0000], [0.5000, 0.5000, 0.5000], [0.0000, 0.5000, 0.0000], [0.5000, 0.0000, 0.0000], [0.0000, 0.0000, 0.5000]]
}

---

Across the entries above, magnetization takes the values 0.197, 0.290 μB per atom, respectively.
Across the entries above, calculated volume takes the values 10.06, 10.76 Å³ per atom, respectively.